The following is a DFT calculation (PBE) of a relaxed MoAsRu2 crystal.

Lattice parameters (Å, degrees): 4.198 4.198 3.378 90.00 90.00 90.00
Space group P4/mmm (No. 123)
Symmetry-distinct sites (fractional):
Mo1 0.000 0.000 0.000
As1 0.500 0.500 0.000
Ru1 0.000 0.500 0.500

Properties
formation enthalpy at 0 K	0.238	eV/atom
total magnetization	0.0	μB/cell
electronic total energy	-33.08	eV/f.u.
Fermi-level density of states	4.87	states/eV/f.u.